Entry 1:
16
Lattice="6.383 0.000 0.000 0.000 6.923 0.000 0.000 0.000 9.395" Properties=species:S:1:pos:R:3 comment="Dy3Pt GGA-PBEsol optimized geometry" dft_energy_ev_per_cell=-98.60 sg="No. 62" pbc="T T T"
Dy 2.055 4.715 0.557
Dy 1.136 1.254 4.141
Dy 4.327 2.207 5.255
Dy 5.246 5.669 8.838
Dy 4.327 2.207 8.838
Dy 5.246 5.669 5.255
Dy 2.055 4.715 4.141
Dy 1.136 1.254 0.557
Dy 5.563 3.629 2.349
Dy 4.011 0.168 2.349
Dy 0.819 3.293 7.047
Dy 2.372 6.755 7.047
Pt 0.329 6.154 2.349
Pt 2.862 2.692 2.349
Pt 6.053 0.769 7.047
Pt 3.520 4.230 7.047


Entry 2:
24
Lattice="-1.163 8.013 5.067 -8.791 3.209 1.911 -3.412 -0.437 8.911" Properties=species:S:1:pos:R:3 comment="Y4CdPd GGA-PBEsol optimized geometry" dft_energy_ev_per_cell=-149.07 sg="No. 216" pbc="T T T"
Y -6.642 7.220 5.063
Y -7.954 2.291 7.305
Y -8.632 6.965 10.261
Y -3.504 5.093 9.147
Y -3.261 7.017 6.161
Y -10.105 3.768 9.728
Y -8.711 9.006 7.345
Y -4.655 1.779 8.543
Y -7.990 4.039 4.204
Y -5.376 6.746 11.684
Y -1.300 3.665 2.908
Y -5.383 1.727 5.036
Y -4.551 4.852 3.615
Y -2.132 0.541 4.329
Y -4.121 1.889 1.741
Y -2.562 3.504 6.203
Cd -6.706 4.372 9.553
Cd -5.973 7.124 8.301
Cd -5.595 4.514 6.650
Cd -8.458 5.559 7.273
Pd -9.995 9.409 9.835
Pd -10.943 5.848 11.455
Pd -11.433 9.225 13.590
Pd -7.728 7.872 12.785


Entry 3:
26
Lattice="4.651 -0.004 0.000 -0.151 5.614 0.000 0.000 0.000 9.808" Properties=species:S:1:pos:R:3 comment="LiNi2P2O8 GGA-PBEsol optimized geometry" de_polymorph_ev_per_atom=0.0000 raw_formation_energy_ev_per_fu=-22.10 sg="No. 14" pbc="T T T"
Li 3.451 1.400 7.295
Li 1.049 4.209 2.391
Ni 1.252 0.041 9.551
Ni 0.998 2.764 5.039
Ni 3.248 5.569 4.647
Ni 3.502 2.846 0.134
P 1.458 2.848 8.207
P 0.641 5.570 6.382
P 3.042 2.761 3.303
P 3.859 0.039 1.478
O 2.117 4.037 8.989
O 2.222 1.644 8.947
O -0.059 2.787 8.303
O 0.303 0.029 7.832
O 1.948 2.776 6.758
O 2.309 0.018 6.286
O -0.017 4.381 5.601
O 0.028 1.161 5.643
O 2.384 1.572 4.085
O 2.278 3.966 4.043
O 4.559 2.823 3.399
O 4.198 5.580 2.928
O 2.553 2.834 1.853
O 2.191 5.591 1.382
O 4.518 1.228 0.696
O 4.472 4.449 0.739


Entry 4:
5
Lattice="4.554 0.000 0.000 0.000 4.554 0.000 0.000 0.000 4.554" Properties=species:S:1:pos:R:3 comment="MnZnPt3 GGA-PBEsol optimized geometry" dft_energy_ev_per_cell=-27.07 sg="No. 221" pbc="T T T"
Zn 2.277 2.277 2.277
Mn 0.000 0.000 0.000
Pt 0.000 2.277 0.000
Pt 0.000 0.000 2.277
Pt 2.277 0.000 0.000


Fermi-level density of states in states/eV per atom, matching the order above: 1.02, 0.87, 0.29, 0.96